MnNb2Rh | PBE | relaxed

The structure in POSCAR format:
```
MnNb2Rh
1.0
3.3690 0.0000 0.0000
0.0000 4.2957 0.0000
0.0000 0.0000 4.2957
Nb Rh Mn
2 1 1
direct
0.0000 0.5000 0.0000
0.0000 0.0000 0.5000
0.5000 0.0000 0.0000
0.5000 0.5000 0.5000
```

Output
ΔH_f (0 K) ... -0.45 eV per formula unit
Symmetry ... P4/mmm
V ... 62.2 Å³/f.u.

Y2Ga8Fe | PBE | relaxed

The structure in POSCAR format:
```
Y2Ga8Fe
1.0
-2.4053 -1.6089 -3.0870
1.9432 -3.7338 0.4319
-7.6578 -3.1080 7.5864
Y Ga Fe
2 8 1
direct
0.0000 0.0000 0.3048
0.0000 0.0000 0.6952
0.5000 0.0000 0.1146
0.5000 0.5000 0.6941
0.5000 0.5000 0.3059
0.0000 0.5000 0.5000
0.5000 0.0000 0.8854
0.0000 0.5000 0.8854
0.0000 0.5000 0.1146
0.5000 0.0000 0.5000
0.0000 0.0000 0.0000
```

Output
ΔH_f (0 K) ... -4.90 eV per formula unit
Symmetry ... P4/mmm
V ... 200.9 Å³/f.u.

NdSmBeGa | PBE | relaxed

The structure in POSCAR format:
```
NdSmBeGa
1.0
-3.3971 0.9669 -3.6712
-4.7258 -1.8711 0.3455
-3.9171 3.1266 0.9134
Be Nd Sm Ga
1 1 1 1
direct
0.7500 0.7500 0.7500
0.5000 0.5000 0.5000
0.0000 0.0000 0.0000
0.2500 0.2500 0.2500
```

Output
ΔH_f (0 K) ... -0.68 eV per formula unit
Symmetry ... F-43m
V ... 93.5 Å³/f.u.

SrMgW2 | PBE | relaxed

The structure in POSCAR format:
```
SrMgW2
1.0
4.5645 0.0000 0.0000
0.0000 4.5645 0.0000
2.2823 2.2823 10.2283
W Mg Sr
4 2 2
direct
0.2828 0.1250 0.2500
0.4672 0.6250 0.2500
0.8750 0.5328 0.7500
0.3750 0.7172 0.7500
0.2500 0.7500 0.5000
0.5000 0.5000 0.0000
0.7500 0.2500 0.5000
0.0000 0.0000 0.0000
```

Output
ΔH_f (0 K) ... 5.63 eV per formula unit
Symmetry ... I-42d
V ... 106.6 Å³/f.u.

AcCe2Y | PBE | relaxed

The structure in POSCAR format:
```
AcCe2Y
1.0
-1.0594 3.7313 4.3761
-4.6171 3.5790 -0.2623
-4.5752 -0.8656 3.5375
Ac Y Ce
1 1 2
direct
0.0000 0.0000 0.0000
0.5000 0.5000 0.5000
0.2500 0.2500 0.2500
0.7500 0.7500 0.7500
```

Output
ΔH_f (0 K) ... 1.21 eV per formula unit
Symmetry ... Fm-3m
V ... 141.4 Å³/f.u.
Energy relative to the lowest polymorph listed for this composition ... 149 meV/atom

KYPI2 | PBE | relaxed

The structure in POSCAR format:
```
KYPI2
1.0
-4.7339 -2.6507 -2.4042
2.8261 -0.5532 -4.9548
2.0597 -5.2785 1.7642
P I K Y
1 2 1 1
direct
0.0000 0.5000 0.0000
0.5000 0.0000 0.0000
0.0000 0.0000 0.5000
0.0000 0.0000 0.0000
0.5000 0.5000 0.5000
```

Output
Uncorrected formation energy ... 1.80 eV per formula unit
Symmetry ... P4/mmm
V ... 201.8 Å³/f.u.

PaTc6 | PBE | relaxed

The structure in POSCAR format:
```
PaTc6
1.0
5.8375 0.0000 0.0000
-1.9458 5.5037 0.0000
-1.9458 -2.7518 4.7663
Tc Pa
6 1
direct
0.5000 0.7500 0.2500
0.5000 0.2500 0.7500
0.7500 0.5000 0.2500
0.2500 0.5000 0.7500
0.7500 0.2500 0.5000
0.2500 0.7500 0.5000
0.0000 0.0000 0.0000
```

Output
ΔH_f (0 K) ... 7.17 eV per formula unit
Symmetry ... Im-3m
V ... 153.1 Å³/f.u.
Energy relative to the lowest polymorph listed for this composition ... 1040 meV/atom

SrAsHRh2 | PBE | relaxed

The structure in POSCAR format:
```
SrAsHRh2
1.0
3.9514 0.0000 0.0000
-1.9757 5.5627 0.0000
0.0000 0.0000 7.3109
Rh H As Sr
4 2 2 2
direct
0.1635 0.3270 0.5536
0.8365 0.6730 0.0536
0.1635 0.3270 0.9464
0.8365 0.6730 0.4464
0.0000 0.0000 0.5000
0.0000 0.0000 0.0000
0.2760 0.5520 0.2500
0.7240 0.4480 0.7500
0.5511 0.1023 0.2500
0.4489 0.8977 0.7500
```

Output
Symmetry ... Cmcm
V ... 80.3 Å³/f.u.
Energy relative to the lowest polymorph listed for this composition ... 0 meV/atom

What did the seventh record say?
PaTc6 | PBE | relaxed

The structure in POSCAR format:
```
PaTc6
1.0
5.8375 0.0000 0.0000
-1.9458 5.5037 0.0000
-1.9458 -2.7518 4.7663
Tc Pa
6 1
direct
0.5000 0.7500 0.2500
0.5000 0.2500 0.7500
0.7500 0.5000 0.2500
0.2500 0.5000 0.7500
0.7500 0.2500 0.5000
0.2500 0.7500 0.5000
0.0000 0.0000 0.0000
```

Output
ΔH_f (0 K) ... 7.17 eV per formula unit
Symmetry ... Im-3m
V ... 153.1 Å³/f.u.
Energy relative to the lowest polymorph listed for this composition ... 1040 meV/atom

Number 4 is which compound?
SrMgW2

The highest V belongs to which entry?
KYPI2